An optimized crystal structure of CaCrP2O. Source: the Alexandria database, functional GGA+U.

Cell and atoms, written as POSCAR:
```
CaCrP2O
1.0
5.3231 0.0000 0.0000
0.0000 5.3231 0.0000
0.0000 0.0000 4.1792
Ca Cr P O
1 1 2 1
Cartesian
0.0000 0.0000 0.0000
2.6615 2.6615 2.0896
0.0000 2.6615 0.0000
2.6615 0.0000 0.0000
0.0000 0.0000 2.0896
```

Summary:
Energy above the lowest structure with this stoichiometry = 5.05 eV per formula unit
N(E_F) = 5.954 states/eV/f.u.
SG = No. 123
E_tot = -4.491 eV per atom